Here is crystalline Na6SeI2O at its relaxed geometry from Alexandria. Energies are from PBE.

The space group is Pmmn (No. 59, origin choice 2) and the conventional cell measures 7.207, 10.192 and 7.208 Å, with angles of 90.00, 90.00 and 90.00 degrees. The distinct sites, in fractional coordinates, are Na at (0.023, 0.250, 0.022), Na at (0.023, 0.250, 0.476), Na at (0.250, 0.023, 0.249), Se at (0.250, 0.750, 0.251), I at (0.250, 0.000, 0.751) and O at (0.250, 0.250, 0.249).

The value obtained for the calculated volume is 529.4 Å³/cell. For the formation energy (no corrections), the calculation gives -11.7 eV per formula unit. The value obtained for the density is 3.1 g cm⁻³.